(1)
VASP calculation (PBE-GGA) on a geometry-optimized PrTmAl2Ni4 structure.

Values from the calculation:
- total energy (eV/atom) = -5.433

Structure (CIF):
```
data_PrTmAl2Ni4
_cell_length_a 4.1598
_cell_length_b 4.1598
_cell_length_c 9.1235
_cell_angle_alpha 90.00
_cell_angle_beta 90.00
_cell_angle_gamma 120.00
_symmetry_space_group_name_H-M 'P 1'
_symmetry_Int_Tables_number 1
loop_
_symmetry_equiv_pos_as_xyz
'x,y,z'
loop_
_atom_site_label
_atom_site_type_symbol
_atom_site_fract_x
_atom_site_fract_y
_atom_site_fract_z
Pr1 Pr 0.0000 0.0000 0.0000
Tm1 Tm 0.6667 0.3333 0.5000
Al1 Al 0.3333 0.6667 0.2632
Al2 Al 0.3333 0.6667 0.7368
Ni1 Ni 0.0000 0.0000 0.3238
Ni2 Ni 0.0000 0.0000 0.6762
Ni3 Ni 0.6667 0.3333 0.2050
Ni4 Ni 0.6667 0.3333 0.7950
```


(2)
VASP calculation (PBE-GGA) on a geometry-optimized PrTmAl4Ni2 structure.

Values from the calculation:
- total energy (eV/atom) = -5.019

Structure (CIF):
```
data_PrTmAl4Ni2
_cell_length_a 6.9199
_cell_length_b 5.5840
_cell_length_c 5.5840
_cell_angle_alpha 42.69
_cell_angle_beta 90.00
_cell_angle_gamma 90.00
_symmetry_space_group_name_H-M 'P 1'
_symmetry_Int_Tables_number 1
loop_
_symmetry_equiv_pos_as_xyz
'x,y,z'
loop_
_atom_site_label
_atom_site_type_symbol
_atom_site_fract_x
_atom_site_fract_y
_atom_site_fract_z
Pr1 Pr 0.0000 0.0000 0.0000
Tm1 Tm 0.5000 0.8838 0.8838
Al1 Al 0.1990 0.2817 0.2817
Al2 Al 0.3088 0.6045 0.6045
Al3 Al 0.6912 0.6045 0.6045
Al4 Al 0.8010 0.2817 0.2817
Ni1 Ni 0.0000 0.7231 0.7231
Ni2 Ni 0.5000 0.1565 0.1565
```